VASP calculation (GGA-PBE) on Ta2CoCu after structural relaxation.

Calculated values
energy of formation from the pure elements = 0.0044 eV/atom
crystal system = monoclinic
volume = 14.63 Å³/atom
energy = -8.72 eV per atom
N(E_F) = 3.8 states/eV/f.u.

Lattice parameters (Å, degrees): 4.4432 2.7807 4.7537 85.13 90.00 90.00
Atoms (fractional coordinates):
Ta: 0.0000 0.0495 0.9365
Ta: 0.5000 0.2073 0.3188
Cu: 0.5000 0.6254 0.7950
Co: 0.0000 0.6179 0.4497